Entry 1
# SrReSb2

A PBEsol-optimized structure of SrReSb2 (meta-GGA SCAN, Alexandria via LeMat-Bulk).

The structure in extended XYZ format:
```
4
Lattice="-0.1455 -0.4775 -3.3897 4.4861 -0.2107 -0.1628 -0.2486 -6.1745 1.1401" Properties=species:S:1:pos:R:3 pbc="T T T"
Re 2.1188 -3.1926 0.4886
Sb -0.3209 -4.9591 -2.4250
Sb -0.0731 -1.6928 0.1754
Sr 2.1703 -0.3441 -1.7763
```

Results
**Size of the total moment**: 0.136 μB/atom

***

Entry 2
# SrReSb2

A PBEsol-optimized structure of SrReSb2 (meta-GGA SCAN, Alexandria via LeMat-Bulk).

The structure in extended XYZ format:
```
4
Lattice="-0.9024 -2.8897 -2.6914 4.4437 -1.5542 0.1789 -1.1602 -2.9126 3.5163" Properties=species:S:1:pos:R:3 pbc="T T T"
Re -0.4512 -1.4449 -1.3457
Sb -0.5801 -1.4563 1.7581
Sb 2.2218 -0.7771 0.0894
Sr 1.1905 -3.6783 0.5019
```

Results
**Size of the total moment**: 0.286 μB/atom

***

Which one sits at the top of the stability order? entry 1 does.

***

Entry 1
# ReSb2W

A PBEsol-optimized structure of ReSb2W (meta-GGA SCAN, Alexandria via LeMat-Bulk).

The structure in extended XYZ format:
```
4
Lattice="3.1096 0.0000 0.0000 1.5548 2.6930 0.0000 1.5548 0.8977 8.5646" Properties=species:S:1:pos:R:3 pbc="T T T"
Re 0.0000 0.0000 0.0000
Sb 1.5548 0.8977 2.0833
Sb 4.6644 2.6930 6.4813
W 3.1096 1.7953 4.2823
```

Results
**Size of the total moment**: 0.000 μB/atom

***

Entry 2
# ReSb2W

A PBEsol-optimized structure of ReSb2W (meta-GGA SCAN, Alexandria via LeMat-Bulk).

The structure in extended XYZ format:
```
4
Lattice="-1.7075 0.1710 -2.6415 3.1533 -2.0003 -2.1678 -3.0442 -4.0242 3.5853" Properties=species:S:1:pos:R:3 pbc="T T T"
Re 0.3745 -3.5578 -0.4724
Sb -1.4341 -5.5039 -1.3075
Sb -1.8853 -2.1094 -0.7961
W 0.4710 -1.4505 -2.2765
```

Results
**Size of the total moment**: 0.000 μB/atom

***

Which one sits at the top of the stability order? entry 2 does.

***

Entry 1
# ZnRe2Sb

A PBEsol-optimized structure of ZnRe2Sb (meta-GGA SCAN, Alexandria via LeMat-Bulk).

The structure in extended XYZ format:
```
4
Lattice="-1.2850 -0.0479 3.1561 4.1846 -0.0997 1.7022 0.3091 4.7909 -0.4794" Properties=species:S:1:pos:R:3 pbc="T T T"
Re -0.6311 3.8860 1.7789
Re -0.3448 0.8571 0.8977
Sb 1.6044 2.3217 2.1894
Zn 2.0923 -0.0498 0.8511
```

Results
**Size of the total moment**: 0.000 μB/atom

***

Entry 2
# ZnRe2Sb

A PBEsol-optimized structure of ZnRe2Sb (meta-GGA SCAN, Alexandria via LeMat-Bulk).

The structure in extended XYZ format:
```
4
Lattice="3.9806 0.0000 0.0000 0.0000 3.9806 0.0000 -1.9903 -1.9903 3.9526" Properties=species:S:1:pos:R:3 pbc="T T T"
Re 0.0000 0.0000 0.0000
Re 1.9903 0.0000 1.9763
Sb 1.9903 1.9903 0.0000
Zn 0.0000 1.9903 1.9763
```

Results
**Size of the total moment**: 0.000 μB/atom

***

Which one sits at the top of the stability order? entry 1 does.

***

Entry 1
# ZrReSb2

A PBEsol-optimized structure of ZrReSb2 (meta-GGA SCAN, Alexandria via LeMat-Bulk).

The structure in extended XYZ format:
```
8
Lattice="-3.5769 1.8857 1.1966 1.0669 -0.5422 4.0434 5.7746 7.9264 -2.6597" Properties=species:S:1:pos:R:3 pbc="T T T"
Re 2.7933 4.0280 2.0019
Re 0.0000 0.0000 0.0000
Zr 0.4714 5.2419 0.5785
Zr -1.2550 0.6718 2.6200
Sb -1.3408 3.4572 1.9167
Sb 1.0907 2.1855 3.3035
Sb 2.7786 6.7762 1.3422
Sb 4.0009 6.1210 -1.4017
```

Results
**Size of the total moment**: 0.000 μB/atom

***

Entry 2
# ZrReSb2

A PBEsol-optimized structure of ZrReSb2 (meta-GGA SCAN, Alexandria via LeMat-Bulk).

The structure in extended XYZ format:
```
4
Lattice="-2.6103 -1.9092 -0.5437 0.0778 -1.2528 4.0255 -2.3524 6.1074 -0.2622" Properties=species:S:1:pos:R:3 pbc="T T T"
Re -1.9505 1.8620 2.8256
Sb -4.5529 2.5301 3.0839
Sb -2.8908 1.0288 0.3760
Zr -1.6419 -1.1112 1.8944
```

Results
**Size of the total moment**: 0.000 μB/atom

***

Which one sits at the top of the stability order? entry 2 does.

***

Entry 1
# SrSc2Re

A PBEsol-optimized structure of SrSc2Re (meta-GGA SCAN, Alexandria via LeMat-Bulk).

The structure in extended XYZ format:
```
4
Lattice="3.6068 0.0000 0.0000 0.0000 3.6068 0.0000 0.0000 0.0000 7.6747" Properties=species:S:1:pos:R:3 pbc="T T T"
Re 1.8034 1.8034 6.3737
Sc 0.0000 0.0000 7.3097
Sc 1.8034 1.8034 1.3229
Sr 0.0000 0.0000 4.1805
```

Results
**Size of the total moment**: 0.000 μB/atom

***

Entry 2
# SrSc2Re

A PBEsol-optimized structure of SrSc2Re (meta-GGA SCAN, Alexandria via LeMat-Bulk).

The structure in extended XYZ format:
```
4
Lattice="-1.6784 -0.3546 -3.9009 2.9147 -2.5913 -3.3462 -1.5394 -4.7450 -1.2340" Properties=species:S:1:pos:R:3 pbc="T T T"
Re -0.8392 -0.1773 -1.9504
Sc 0.7213 -5.8411 -4.4347
Sc -1.0244 -1.8498 -4.0464
Sr 0.6876 -3.6682 -2.2901
```

Results
**Size of the total moment**: 0.000 μB/atom

***

Which one sits at the top of the stability order? entry 1 does.

***

Entry 1
# SrScRe2

A PBEsol-optimized structure of SrScRe2 (meta-GGA SCAN, Alexandria via LeMat-Bulk).

The structure in extended XYZ format:
```
4
Lattice="3.8716 0.0000 0.0000 0.0000 3.8716 0.0000 0.0000 0.0000 4.9376" Properties=species:S:1:pos:R:3 pbc="T T T"
Re 0.0000 1.9358 0.0000
Re 1.9358 0.0000 0.0000
Sc 1.9358 1.9358 2.4688
Sr 0.0000 0.0000 2.4688
```

Results
**Size of the total moment**: 0.000 μB/atom

***

Entry 2
# SrScRe2

A PBEsol-optimized structure of SrScRe2 (meta-GGA SCAN, Alexandria via LeMat-Bulk).

The structure in extended XYZ format:
```
4
Lattice="3.6832 0.0000 0.0000 -1.8416 4.8207 -0.0081 0.0000 -1.6046 5.6674" Properties=species:S:1:pos:R:3 pbc="T T T"
Re 1.8416 1.0229 4.9584
Re 0.0000 2.1932 0.7008
Sc 1.8416 0.0000 0.0000
Sr 0.0000 -0.8023 2.8337
```

Results
**Size of the total moment**: 0.000 μB/atom

***

Which one sits at the top of the stability order? entry 2 does.

***

Entry 1
# ScRe2Tc

A PBEsol-optimized structure of ScRe2Tc (meta-GGA SCAN, Alexandria via LeMat-Bulk).

The structure in extended XYZ format:
```
4
Lattice="3.0876 0.0000 0.0000 0.0000 4.3824 0.0000 -1.5438 -2.1912 4.4974" Properties=species:S:1:pos:R:3 pbc="T T T"
Re 1.5438 2.1912 2.3104
Re 0.0000 0.0000 2.1871
Sc 0.0000 2.1912 0.0000
Tc 1.5438 0.0000 0.0000
```

Results
**Size of the total moment**: 0.000 μB/atom

***

Entry 2
# ScRe2Tc

A PBEsol-optimized structure of ScRe2Tc (meta-GGA SCAN, Alexandria via LeMat-Bulk).

The structure in extended XYZ format:
```
4
Lattice="2.7586 0.0000 0.0017 0.0000 4.3668 0.0000 -0.9240 0.0000 5.0489" Properties=species:S:1:pos:R:3 pbc="T T T"
Re 2.7426 0.0000 0.0205
Re 1.8876 2.1834 1.2325
Sc 0.8999 0.0000 2.5472
Tc -0.0197 2.1834 3.7774
```

Results
**Size of the total moment**: 0.000 μB/atom

***

Which one sits at the top of the stability order? entry 1 does.

***

Entry 1
# ScReTc

A PBEsol-optimized structure of ScReTc (meta-GGA SCAN, Alexandria via LeMat-Bulk).

The structure in extended XYZ format:
```
3
Lattice="2.7455 0.0002 0.0000 -0.9873 2.5618 0.0000 -0.8791 -1.2810 6.6848" Properties=species:S:1:pos:R:3 pbc="T T T"
Re 0.8791 1.2810 6.5953
Sc 0.8791 1.2810 2.2483
Tc 0.0000 0.0000 4.5259
```

Results
**Size of the total moment**: 0.000 μB/atom

***

Entry 2
# ScReTc

A PBEsol-optimized structure of ScReTc (meta-GGA SCAN, Alexandria via LeMat-Bulk).

The structure in extended XYZ format:
```
3
Lattice="-2.0149 0.4761 1.8877 2.5922 -1.5621 3.1607 0.0805 4.2621 -0.9889" Properties=species:S:1:pos:R:3 pbc="T T T"
Re -0.0516 0.0122 0.0483
Sc -0.4048 2.6332 1.6334
Tc 1.1142 0.5307 2.3779
```

Results
**Size of the total moment**: 0.000 μB/atom

***

Which one sits at the top of the stability order? entry 2 does.

***

Entry 1
# ScTl2Re

A PBEsol-optimized structure of ScTl2Re (meta-GGA SCAN, Alexandria via LeMat-Bulk).

The structure in extended XYZ format:
```
4
Lattice="-1.9740 1.8710 2.0948 -3.8186 -1.2921 -2.4444 2.3311 -4.1969 3.1322" Properties=species:S:1:pos:R:3 pbc="T T T"
Re -2.9078 0.2058 -0.1110
Sc -2.1593 -2.3715 0.0833
Tl -3.4599 -3.6095 2.7765
Tl -1.2924 -1.1713 2.6414
```

Results
**Size of the total moment**: 0.000 μB/atom

***

Entry 2
# ScTl2Re

A PBEsol-optimized structure of ScTl2Re (meta-GGA SCAN, Alexandria via LeMat-Bulk).

The structure in extended XYZ format:
```
4
Lattice="4.1775 0.0000 0.0000 0.0000 4.1775 0.0000 -2.0887 -2.0887 4.4408" Properties=species:S:1:pos:R:3 pbc="T T T"
Re 2.0887 2.0887 0.0000
Sc 0.0000 2.0887 2.2204
Tl 0.0000 0.0000 0.0000
Tl 2.0887 0.0000 2.2204
```

Results
**Size of the total moment**: 0.000 μB/atom

***

Which one sits at the top of the stability order? entry 1 does.

***

Entry 1
# ScTl2Re

A PBEsol-optimized structure of ScTl2Re (meta-GGA SCAN, Alexandria via LeMat-Bulk).

The structure in extended XYZ format:
```
4
Lattice="3.1457 0.0000 -0.0054 0.0000 4.4708 0.0000 -1.4590 0.0000 5.7067" Properties=species:S:1:pos:R:3 pbc="T T T"
Re -0.6704 0.0000 2.8595
Sc 0.3015 2.2354 4.2159
Tl -1.3718 0.0000 5.6222
Tl 1.2388 2.2354 1.5639
```

Results
**Size of the total moment**: 0.000 μB/atom

***

Entry 2
# ScTl2Re

A PBEsol-optimized structure of ScTl2Re (meta-GGA SCAN, Alexandria via LeMat-Bulk).

The structure in extended XYZ format:
```
4
Lattice="4.3392 0.0000 0.0000 0.0000 4.3392 0.0000 -2.1696 -2.1696 4.0725" Properties=species:S:1:pos:R:3 pbc="T T T"
Re 2.1696 2.1696 0.0000
Sc 0.0000 0.0000 0.0000
Tl 2.1696 0.0000 2.0362
Tl 0.0000 2.1696 2.0362
```

Results
**Size of the total moment**: 0.150 μB/atom

***

Which one sits at the top of the stability order? entry 2 does.

***

Entry 1
# ScTlRe2

A PBEsol-optimized structure of ScTlRe2 (meta-GGA SCAN, Alexandria via LeMat-Bulk).

The structure in extended XYZ format:
```
4
Lattice="-2.2933 1.6941 -0.5901 -1.9486 0.5892 2.0816 3.6137 8.4487 3.0278" Properties=species:S:1:pos:R:3 pbc="T T T"
Re -0.1069 2.7597 1.1551
Re -0.5213 7.9722 3.3642
Sc -0.3141 5.3660 2.2597
Tl 0.0000 0.0000 0.0000
```

Results
**Size of the total moment**: 0.000 μB/atom

***

Entry 2
# ScTlRe2

A PBEsol-optimized structure of ScTlRe2 (meta-GGA SCAN, Alexandria via LeMat-Bulk).

The structure in extended XYZ format:
```
4
Lattice="3.9076 0.0000 0.0000 0.0000 3.9076 0.0000 -1.9538 -1.9538 4.4954" Properties=species:S:1:pos:R:3 pbc="T T T"
Re 1.9538 0.0000 2.2477
Re 0.0000 1.9538 2.2477
Sc 1.9538 1.9538 0.0000
Tl 0.0000 0.0000 0.0000
```

Results
**Size of the total moment**: 0.000 μB/atom

***

Entry 3
# ScTlRe2

A PBEsol-optimized structure of ScTlRe2 (meta-GGA SCAN, Alexandria via LeMat-Bulk).

The structure in extended XYZ format:
```
4
Lattice="3.8770 0.0000 0.0000 0.0000 4.4764 0.0000 -1.9385 -2.2382 4.0709" Properties=species:S:1:pos:R:3 pbc="T T T"
Re 0.0000 2.2382 0.2098
Re 1.9385 2.2382 1.7720
Sc 0.0000 2.2382 4.0176
Tl 0.0000 0.0000 2.1424
```

Results
**Size of the total moment**: 0.000 μB/atom

***

Which one sits at the top of the stability order? entry 3 does.

***

Entry 1
# YScRe

A PBEsol-optimized structure of YScRe (meta-GGA SCAN, Alexandria via LeMat-Bulk).

The structure in extended XYZ format:
```
3
Lattice="-2.4015 0.6464 2.1015 3.0200 -0.5349 1.0932 1.4168 6.9429 -0.5164" Properties=species:S:1:pos:R:3 pbc="T T T"
Re 1.4028 6.8744 -0.5113
Sc 2.2359 4.8723 1.0564
Y -0.1867 2.2504 1.6168
```

Results
**Size of the total moment**: 0.000 μB/atom

***

Entry 2
# YScRe

A PBEsol-optimized structure of YScRe (meta-GGA SCAN, Alexandria via LeMat-Bulk).

The structure in extended XYZ format:
```
3
Lattice="-0.5954 2.6011 3.7415 -1.7672 -1.8418 3.8215 2.6655 -0.6366 3.6890" Properties=species:S:1:pos:R:3 pbc="T T T"
Re 0.0757 0.0307 2.8130
Sc 0.0000 0.0000 0.0000
Y 0.1515 0.0613 5.6260
```

Results
**Size of the total moment**: 0.000 μB/atom

***

Which one sits at the top of the stability order? entry 2 does.